Material: Li4Cr3Ni2Sb3O16
Method: DFT, PBE+U
State: optimized geometry

Output
The density comes out at 4.87 g/cm3. Its total energy is -172.67 eV for the cell shown. The volume comes out at 314.48 Å³ per cell.

Cell and atoms, written as POSCAR:
```
Li4Cr3Ni2Sb3O16
1.0
5.263 -3.048 0.000
5.263 3.048 0.000
-0.173 0.000 9.802
Li Cr Ni Sb O
4 3 2 3 16
direct
0.000 0.000 0.000
0.009 0.009 0.516
0.348 0.348 0.413
0.685 0.685 0.876
0.190 0.683 0.725
0.683 0.190 0.725
0.849 0.849 0.227
0.364 0.364 0.984
0.692 0.692 0.521
0.191 0.191 0.725
0.355 0.850 0.225
0.850 0.355 0.225
0.019 0.019 0.330
0.024 0.024 0.822
0.057 0.502 0.846
0.171 0.171 0.112
0.176 0.704 0.118
0.337 0.867 0.611
0.352 0.352 0.615
0.502 0.057 0.846
0.504 0.504 0.843
0.533 0.533 0.343
0.533 0.987 0.338
0.683 0.683 0.113
0.704 0.176 0.118
0.860 0.860 0.615
0.867 0.337 0.611
0.987 0.533 0.338
```